GeSbC2N | PBE-GGA | relaxed

Cell: 3.9073 3.9073 4.4363 Å, 90.00 90.00 90.00°
Closest atoms and distances in Å follow each position.
Space group P4/mmm (No. 123)
Asymmetric unit:
Ge: 0.0000 0.0000 0.0000  4 Sb 2.76, 8 C 2.96
Sb: 0.5000 0.5000 0.0000  2 N 2.22
C: 0.0000 0.5000 0.5000  2 N 1.95
N: 0.5000 0.5000 0.5000  4 C 1.95

Output
Crystal system: tetragonal
Formation energy without anion corrections: 2.57 eV per atom

***

AgOsO3 | PBE-GGA | relaxed

Cell: 10.4427 3.8973 6.5300 Å, 90.00 100.19 90.00°
Closest atoms and distances in Å follow each position.
Space group C2/m (No. 12)
Asymmetric unit:
Ag: 0.1210 0.0000 0.4267  5 O 2.36-2.58
Os: 0.1325 0.5000 0.9112  6 O 1.88-2.05
O: 0.0585 0.5000 0.1701  2 Os 1.97-1.98
O: 0.1580 0.5000 0.6335  1 Os 1.88
O: 0.1760 0.0000 0.9451  3 Os 2.00-2.05

Output
Crystal system: monoclinic
Formation energy without anion corrections: -0.56 eV per atom

***

Y2InRu2 | PBE-GGA | relaxed

Cell: 7.1153 7.1153 4.2525 Å, 90.00 90.00 90.00°
Closest atoms and distances in Å follow each position.
Space group P4/mbm (No. 127)
Asymmetric unit:
Y: 0.1766 0.3234 0.0000  6 Ru 2.91-3.05
In: 0.0000 0.0000 0.5000  4 Ru 2.81
Ru: 0.1255 0.6255 0.5000  1 Ru 2.53, 2 In 2.81

Output
Crystal system: tetragonal
E_form: -0.361 eV/atom

***

MgReHgO6 | PBE-GGA | relaxed

Cell: 5.5194 8.8810 4.7916 Å, 90.00 98.74 90.00°
Closest atoms and distances in Å follow each position.
Space group C2 (No. 5)
Asymmetric unit:
Mg: 0.0000 0.0000 0.0000  6 O 2.03-2.12
Re: 0.0000 0.3312 0.0000  6 O 1.80-1.99
Hg: 0.0000 0.6674 0.5000  4 O 2.17-2.24
O: 0.0942 0.1898 0.7695  1 Re 1.80
O: 0.1493 0.4940 0.7964  1 Re 1.99, 1 Mg 2.03, 1 Hg 2.17
O: 0.1810 0.8518 0.7731  1 Re 1.93, 1 Mg 2.06

Output
Crystal system: monoclinic
Formation energy without anion corrections: -1.30 eV per atom

***

Tb5Pm2TmTh | PBE-GGA | relaxed

Cell: 5.7255 21.5761 9.7886 Å, 90.00 90.00 90.00°
Closest atoms and distances in Å follow each position.
Space group Cmc2_1 (No. 36)
Asymmetric unit:
Tb: 0.0000 0.0148 0.0000  3 Pm 3.35-3.73, 2 Th 3.47, 2 Tb 3.65
Tb: 0.0000 0.2698 0.3134  1 Th 3.04, 1 Pm 3.35
Tb: 0.0000 0.3050 0.7021  4 Tb 3.46-3.74, 3 Tm 3.47-3.83, 3 Pm 3.51-3.77, 1 Th 3.56
Tb: 0.0000 0.3963 0.0270  2 Tb 3.33-3.49, 4 Pm 3.35-3.57
Tb: 0.0000 0.4703 0.7282  2 Th 3.26-3.42, 5 Tb 3.33-3.65, 2 Pm 3.49
Pm: 0.0000 0.1144 0.3109  9 Tb 3.35-3.73, 1 Tm 3.45
Pm: 0.0000 0.1302 0.6956  1 Tm 3.26, 2 Tb 3.35, 2 Th 3.63
Tm: 0.0000 0.1905 0.0015  2 Pm 3.26-3.45, 5 Tb 3.47-3.51, 2 Th 3.62
Th: 0.0000 0.4036 0.4110  2 Tb 3.04-3.26

Output
Crystal system: orthorhombic
E_form: 0.161 eV/atom

***

SrSiPb3 | PBE-GGA | relaxed

Cell: 5.5173 5.5173 5.5173 Å, 90.00 90.00 90.00°
Closest atoms and distances in Å follow each position.
Space group Pm-3m (No. 221)
Asymmetric unit:
Sr: 0.0000 0.0000 0.0000  12 Pb 3.90
Si: 0.5000 0.5000 0.5000  6 Pb 2.76
Pb: 0.0000 0.5000 0.5000  2 Si 2.76

Output
Crystal system: cubic
Formation energy without anion corrections: 0.15 eV per atom

***

no.,volume (Å³/cell)
1,67.73
2,261.57
3,215.29
4,232.14
5,1209.23
6,167.95